(1)
This record from Alexandria describes a PBEsol-optimized structure of LaCdSb2Te. The functional is SCAN.

Cell: 5.3681 5.3681 5.5195 Å, 90.00 90.00 90.00°
Fractional coordinates of all 5 atoms:
Sb (0.0000, 0.5000, 0.0000)
Te (0.0000, 0.0000, 0.5000)
La (0.5000, 0.5000, 0.5000)
Sb (0.5000, 0.0000, 0.0000)
Cd (0.0000, 0.0000, 0.0000)

Output
Its total magnetization is 0.0 μB/cell. As for the formation energy from raw total energies: -0.0841 eV/atom. The space group is P4/mmm, No. 123. The calculation puts the total energy at -1.3650 Ha/atom.


(2)
This record from Alexandria describes a PBEsol-optimized structure of LaZnCdSb2. The functional is SCAN.

Cell: 4.8320 5.2771 5.2771 Å, 90.00 90.00 90.00°
Fractional coordinates of all 5 atoms:
Zn (0.0000, 0.0000, 0.0000)
La (0.5000, 0.5000, 0.5000)
Sb (0.0000, 0.0000, 0.5000)
Cd (0.5000, 0.0000, 0.0000)
Sb (0.0000, 0.5000, 0.0000)

Output
Its total magnetization is 0.0 μB/cell. As for the formation energy from raw total energies: -0.2195 eV/atom. The space group is P4/mmm, No. 123. The calculation puts the total energy at -1.1955 Ha/atom.


(3)
This record from Alexandria describes a PBEsol-optimized structure of La2ScCd. The functional is SCAN.

Cell: 3.6613 5.5806 5.5806 Å, 90.08 90.00 90.00°
Fractional coordinates of all 4 atoms:
Sc (0.5000, 0.0000, 0.0000)
La (0.0000, 0.0000, 0.5000)
Cd (0.5000, 0.5000, 0.5000)
La (0.0000, 0.5000, 0.0000)

Output
Its total magnetization is 0.1 μB/cell. As for the energy relative to the elements: -144 meV/atom. The space group is Cmmm, No. 65. The calculation puts the total energy at -1.2076 Ha/atom.


(4)
This record from Alexandria describes a PBEsol-optimized structure of La2ScCd. The functional is SCAN.

Cell: 3.6706 4.4940 6.9168 Å, 90.00 90.00 90.00°
Fractional coordinates of all 4 atoms:
La (0.0000, 0.0000, 0.7448)
Sc (0.5000, 0.5000, 0.0000)
Cd (0.5000, 0.5000, 0.5000)
La (0.0000, 0.0000, 0.2552)

Output
Its total magnetization is 0.0 μB/cell. As for the energy relative to the elements: -137 meV/atom. The space group is Pmmm, No. 47. The calculation puts the total energy at -1.2073 Ha/atom.


(5)
This record from Alexandria describes a PBEsol-optimized structure of La2ScCd. The functional is SCAN.

Cell: 4.7396 4.7396 5.9194 Å, 113.60 113.60 90.00°
Fractional coordinates of all 4 atoms:
La (0.2500, 0.7500, 0.5000)
Sc (0.5000, 0.5000, 0.0000)
La (0.7500, 0.2500, 0.5000)
Cd (0.0000, 0.0000, 0.0000)

Output
Its total magnetization is 0.1 μB/cell. As for the energy relative to the elements: -143 meV/atom. The space group is I4/mmm, No. 139. The calculation puts the total energy at -1.2075 Ha/atom.


(6)
This record from Alexandria describes a PBEsol-optimized structure of LaSc3Cd. The functional is SCAN.

Cell: 5.2859 5.2859 5.2859 Å, 90.00 90.00 90.00°
Fractional coordinates of all 5 atoms:
La (0.5000, 0.5000, 0.5000)
Sc (0.5000, 0.0000, 0.0000)
Sc (0.0000, 0.0000, 0.5000)
Sc (0.0000, 0.5000, 0.0000)
Cd (0.0000, 0.0000, 0.0000)

Output
Its total magnetization is 0.0 μB/cell. As for the energy relative to the elements: 267 meV/atom. The space group is Pm-3m, No. 221. The calculation puts the total energy at -0.8445 Ha/atom.


(7)
This record from Alexandria describes a PBEsol-optimized structure of LaScCd2. The functional is SCAN.

Cell: 4.7515 4.4056 4.7515 Å, 89.99 90.00 90.00°
Fractional coordinates of all 4 atoms:
La (0.5000, 0.5000, 0.0000)
Cd (0.0000, 0.0000, 0.0000)
Sc (0.0000, 0.5000, 0.5000)
Cd (0.5000, 0.0000, 0.5000)

Output
Its total magnetization is 0.0 μB/cell. As for the energy relative to the elements: -269 meV/atom. The space group is P4/mmm, No. 123. The calculation puts the total energy at -1.0956 Ha/atom.


(8)
This record from Alexandria describes a PBEsol-optimized structure of LaScCd2. The functional is SCAN.

Cell: 3.5190 3.5201 7.8836 Å, 90.00 90.00 90.00°
Fractional coordinates of all 4 atoms:
Cd (0.0000, 0.0000, 0.7113)
Cd (0.0000, 0.0000, 0.2887)
Sc (0.5000, 0.5000, 0.5000)
La (0.5000, 0.5000, 0.0000)

Output
Its total magnetization is 0.6 μB/cell. As for the energy relative to the elements: -415 meV/atom. The space group is P4/mmm, No. 123. The calculation puts the total energy at -1.1009 Ha/atom.


(9)
This record from Alexandria describes a PBEsol-optimized structure of La2ScCd. The functional is SCAN.

Cell: 3.5427 5.3927 5.6165 Å, 90.00 90.00 90.00°
Fractional coordinates of all 4 atoms:
Sc (0.5000, 0.0000, 0.5000)
Cd (0.0000, 0.5000, 0.5000)
La (0.0000, 0.0000, 0.0000)
La (0.5000, 0.5000, 0.0000)

Output
Its total magnetization is 0.0 μB/cell. As for the energy relative to the elements: -51 meV/atom. The space group is Pmmm, No. 47. The calculation puts the total energy at -1.2041 Ha/atom.


(10)
This record from Alexandria describes a PBEsol-optimized structure of La2ScCd. The functional is SCAN.

Cell: 3.6786 5.5392 6.4344 Å, 115.49 106.61 90.00°
Fractional coordinates of all 4 atoms:
Cd (0.7656, 0.2656, 0.5312)
La (0.2458, 0.7458, 0.4917)
La (0.0135, 0.0135, 0.0271)
Sc (0.4750, 0.4750, 0.9501)

Output
Its total magnetization is 0.0 μB/cell. As for the energy relative to the elements: -186 meV/atom. The space group is Imm2, No. 44. The calculation puts the total energy at -1.2091 Ha/atom.


(11)
This record from Alexandria describes a PBEsol-optimized structure of La2ScCd. The functional is SCAN.

Cell: 3.4916 5.1493 6.6114 Å, 90.00 105.24 90.00°
Fractional coordinates of all 4 atoms:
La (0.0373, 0.0000, 0.9502)
La (0.7148, 0.5000, 0.3038)
Sc (0.3092, 0.0000, 0.4937)
Cd (0.4387, 0.5000, 0.7523)

Output
Its total magnetization is 0.4 μB/cell. As for the energy relative to the elements: -151 meV/atom. The space group is Pm, No. 6. The calculation puts the total energy at -1.2078 Ha/atom.


(12)
This record from Alexandria describes a PBEsol-optimized structure of LaScCd2. The functional is SCAN.

Cell: 3.5165 5.3296 5.3296 Å, 90.00 90.00 90.00°
Fractional coordinates of all 4 atoms:
La (0.5000, 0.5000, 0.5000)
Cd (0.0000, 0.5000, 0.0000)
Cd (0.0000, 0.0000, 0.5000)
Sc (0.5000, 0.0000, 0.0000)

Output
Its total magnetization is 0.5 μB/cell. As for the energy relative to the elements: -316 meV/atom. The space group is P4/mmm, No. 123. The calculation puts the total energy at -1.0973 Ha/atom.


(13)
This record from Alexandria describes a PBEsol-optimized structure of La2ScCd. The functional is SCAN.

Cell: 3.5867 3.5867 8.5526 Å, 90.00 90.00 90.00°
Fractional coordinates of all 4 atoms:
Cd (0.5000, 0.5000, 0.7181)
Sc (0.0000, 0.0000, 0.5330)
La (0.0000, 0.0000, 0.9782)
La (0.5000, 0.5000, 0.2707)

Output
Its total magnetization is 0.1 μB/cell. As for the energy relative to the elements: -175 meV/atom. The space group is P4mm, No. 99. The calculation puts the total energy at -1.2087 Ha/atom.


(14)
This record from Alexandria describes a PBEsol-optimized structure of LaScCd2. The functional is SCAN.

Cell: 5.2224 5.2224 5.2224 Å, 60.00 60.00 60.00°
Fractional coordinates of all 4 atoms:
Sc (0.5000, 0.5000, 0.5000)
La (0.0000, 0.0000, 0.0000)
Cd (0.2500, 0.2500, 0.2500)
Cd (0.7500, 0.7500, 0.7500)

Output
Its total magnetization is 0.1 μB/cell. As for the energy relative to the elements: -378 meV/atom. The space group is Fm-3m, No. 225. The calculation puts the total energy at -1.0996 Ha/atom.


(15)
This record from Alexandria describes a PBEsol-optimized structure of La4CdSe. The functional is SCAN.

Cell: 6.2733 6.2733 6.2733 Å, 60.00 60.00 60.00°
Fractional coordinates of all 6 atoms:
La (0.3749, 0.3749, 0.3749)
La (0.3749, 0.8752, 0.3749)
La (0.8752, 0.3749, 0.3749)
Cd (0.0000, 0.0000, 0.0000)
Se (0.7500, 0.7500, 0.7500)
La (0.3749, 0.3749, 0.8752)

Output
Its total magnetization is 0.0 μB/cell. As for the formation energy from raw total energies: -0.0238 eV/atom. The space group is F-43m, No. 216. The calculation puts the total energy at -1.3662 Ha/atom.


(16)
This record from Alexandria describes a PBEsol-optimized structure of LaCdSe2. The functional is SCAN.

Cell: 3.7687 3.8034 7.2416 Å, 90.21 90.00 90.00°
Fractional coordinates of all 4 atoms:
La (0.5000, 0.5000, 0.0000)
Cd (0.5000, 0.0000, 0.5000)
Se (0.0000, 0.9986, 0.7793)
Se (0.0000, 0.0014, 0.2207)

Output
Its total magnetization is 0.0 μB/cell. As for the formation energy from raw total energies: -1.2776 eV/atom. The space group is P2/m, No. 10. The calculation puts the total energy at -1.0913 Ha/atom.


(17)
This record from Alexandria describes a PBEsol-optimized structure of LaCd3Si. The functional is SCAN.

Cell: 5.0370 5.0370 5.0370 Å, 90.00 90.00 90.00°
Fractional coordinates of all 5 atoms:
La (0.5000, 0.5000, 0.5000)
Cd (0.0000, 0.0000, 0.5000)
Si (0.0000, 0.0000, 0.0000)
Cd (0.5000, 0.0000, 0.0000)
Cd (0.0000, 0.5000, 0.0000)

Output
Its total magnetization is 0.0 μB/cell. As for the formation energy from raw total energies: 0.1407 eV/atom. The space group is Pm-3m, No. 221. The calculation puts the total energy at -1.0559 Ha/atom.


(18)
This record from Alexandria describes a PBEsol-optimized structure of LaTaCdSn2. The functional is SCAN.

Cell: 5.1786 5.1786 5.6533 Å, 90.00 90.00 90.00°
Fractional coordinates of all 5 atoms:
La (0.0000, 0.0000, 0.5000)
Cd (0.0000, 0.0000, 0.0000)
Sn (0.0000, 0.5000, 0.0000)
Sn (0.5000, 0.0000, 0.0000)
Ta (0.5000, 0.5000, 0.5000)

Output
Its total magnetization is 3.2 μB/cell. As for the energy relative to the elements: 1155 meV/atom. The space group is P4/mmm, No. 123. The calculation puts the total energy at -1.5153 Ha/atom.


(19)
This record from Alexandria describes a PBEsol-optimized structure of LaTlCdSn2. The functional is SCAN.

Cell: 5.9185 5.9185 6.1098 Å, 90.00 90.00 90.00°
Fractional coordinates of all 5 atoms:
Sn (0.5000, 0.0000, 0.0000)
Sn (0.0000, 0.5000, 0.0000)
Tl (0.0000, 0.0000, 0.5000)
Cd (0.5000, 0.5000, 0.5000)
La (0.0000, 0.0000, 0.0000)

Output
Its total magnetization is 0.0 μB/cell. As for the energy relative to the elements: 660 meV/atom. The space group is P4/mmm, No. 123. The calculation puts the total energy at -1.5760 Ha/atom.


(20)
This record from Alexandria describes a PBEsol-optimized structure of SrLaCd4. The functional is SCAN.

Cell: 6.0046 6.0046 6.0046 Å, 60.00 60.00 60.00°
Fractional coordinates of all 6 atoms:
Cd (0.3756, 0.3756, 0.3756)
Cd (0.3756, 0.3756, 0.8732)
Sr (0.0000, 0.0000, 0.0000)
Cd (0.8732, 0.3756, 0.3756)
La (0.7500, 0.7500, 0.7500)
Cd (0.3756, 0.8732, 0.3756)

Output
Its total magnetization is 0.0 μB/cell. As for the energy relative to the elements: -397 meV/atom. The space group is F-43m, No. 216. The calculation puts the total energy at -1.1602 Ha/atom.